First-principles (PBE-GGA) data for a relaxed structure of CePr2Pb, as listed in Alexandria.

Geometry as POSCAR:
```
CePr2Pb
1.0
1.825 1.054 11.360
-1.825 1.054 11.360
0.000 -2.107 11.360
Ce Pr Pb
1 2 1
direct
0.000 0.000 0.000 Ce
0.581 0.581 0.581 Pr
0.753 0.753 0.753 Pr
0.167 0.167 0.167 Pb
```

**Calculated total energy**: -4.889 eV per atom
**SG**: R3m, No. 160
**V**: 32.76 Å³ per atom